VASP calculation (PBE+U) on an optimized crystal structure of NiPO3.

POSCAR file:
```
NiPO3
1.0
3.4629 0.0000 0.0000
0.0000 3.4629 0.0000
0.0000 0.0000 3.4629
Ni P O
1 1 3
direct
0.0000 0.0000 0.0000
0.5000 0.5000 0.5000
0.0000 0.5000 0.5000
0.5000 0.0000 0.5000
0.5000 0.5000 0.0000
```

Total DFT energy (no corrections) (Ha/atom): -0.18652
SG: No. 221